Density functional theory data (PBE-GGA) for a relaxed structure of ZnCd2Ni.

Geometry as CIF:
```
data_ZnCd2Ni
_symmetry_space_group_name_H-M 'P 1'
_symmetry_Int_Tables_number 1
_cell_length_a 9.655
_cell_length_b 9.655
_cell_length_c 9.655
_cell_angle_alpha 17.44
_cell_angle_beta 17.44
_cell_angle_gamma 17.44
loop_
_symmetry_equiv_pos_as_xyz
'x,y,z'
loop_
_atom_site_label
_atom_site_type_symbol
_atom_site_fract_x
_atom_site_fract_y
_atom_site_fract_z
Cd1 Cd 0.236 0.236 0.236
Zn1 Zn 0.764 0.764 0.764
Cd2 Cd 0.005 0.005 0.005
Ni1 Ni 0.494 0.494 0.494
```

Calculated values
**DFT formation energy**: 31 kJ/mol of formula units
**Total magnetic moment**: 0.00 Bohr magnetons per cell
**Total DFT energy (no corrections)**: -0.079 hartree per atom